(1)
Material: Al6TcGe
Method: DFT, PBE-GGA
State: optimized geometry

a = 5.2163 Å, b = 5.2163 Å, c = 5.2289 Å
α = 89.61°, β = 89.61°, γ = 89.70°
Fractional positions:
Al 0.3327 0.3327 0.9542
Al 0.3327 0.9563 0.3330
Al 0.6673 0.6673 0.0458
Al 0.0437 0.6673 0.6670
Al 0.6673 0.0437 0.6670
Al 0.9563 0.3327 0.3330
Tc 0.5000 0.5000 0.5000
Ge 0.0000 0.0000 0.0000

Electronic total energy, eV per atom: -4.589
D(E_F), states/eV per atom: 0.273
Space-group type: C2/m (12)

(2)
Material: Na2OsO4
Method: DFT, PBE-GGA
State: optimized geometry

a = 5.7317 Å, b = 5.7317 Å, c = 5.4829 Å
α = 121.72°, β = 121.76°, γ = 89.64°
Fractional positions:
Na 0.7491 0.2493 0.4982
Na 0.2490 0.7491 0.4982
Os 0.0003 0.0002 0.0005
O 0.8693 0.2900 0.1592
O 0.2902 0.8693 0.1594
O 0.1303 0.1303 0.8422
O 0.7119 0.7119 0.8422

Polymorph energy (0 for the lowest one), eV per atom: 0.065
Space-group type: Fmm2 (42)

(3)
Material: Mn2WCl
Method: DFT, PBE-GGA
State: optimized geometry

a = 5.3802 Å, b = 5.3802 Å, c = 6.1370 Å
α = 64.00°, β = 64.00°, γ = 90.00°
Fractional positions:
Mn 0.5965 0.1250 0.2500
Mn 0.1535 0.6250 0.2500
Mn 0.3750 0.4035 0.7500
Mn 0.8750 0.8465 0.7500
W 0.0000 0.0000 0.0000
W 0.7500 0.2500 0.5000
Cl 0.5000 0.5000 0.0000
Cl 0.2500 0.7500 0.5000

D(E_F), states/eV per atom: 0.682
Polymorph energy (0 for the lowest one), eV per atom: 0.896
Space-group type: I-42d (122)

(4)
Material: BaMo4As
Method: DFT, PBE-GGA
State: optimized geometry

a = 5.5247 Å, b = 5.5247 Å, c = 5.5247 Å
α = 60.00°, β = 60.00°, γ = 60.00°
Fractional positions:
Ba 0.0000 0.0000 0.0000
Mo 0.8621 0.3793 0.3793
Mo 0.3793 0.3793 0.8621
Mo 0.3793 0.8621 0.3793
Mo 0.3793 0.3793 0.3793
As 0.7500 0.7500 0.7500

Electronic total energy, eV per atom: -7.439
D(E_F), states/eV per atom: 1.090
Space-group type: F-43m (216)

(5)
Material: CoHBr2
Method: DFT, PBE-GGA
State: optimized geometry

a = 6.5037 Å, b = 6.5037 Å, c = 6.5037 Å
α = 35.00°, β = 35.00°, γ = 35.00°
Fractional positions:
H 0.0000 0.0000 0.0000
Co 0.5000 0.5000 0.5000
Br 0.9051 0.9051 0.9051
Br 0.0949 0.0949 0.0949

D(E_F), states/eV per atom: 0.000
Polymorph energy (0 for the lowest one), eV per atom: 0.000
Space-group type: R-3m (166)

(6)
Material: Ho4Ta6O19
Method: DFT, PBE-GGA
State: optimized geometry

a = 7.8747 Å, b = 7.8747 Å, c = 7.8747 Å
α = 109.47°, β = 109.47°, γ = 109.47°
Fractional positions:
Ho 0.0000 0.0000 0.7133
Ho 0.0000 0.7133 0.0000
Ho 0.2867 0.2867 0.2867
Ho 0.7133 0.0000 0.0000
Ta 0.3461 0.5000 0.8461
Ta 0.6539 0.5000 0.1539
Ta 0.1539 0.6539 0.5000
Ta 0.8461 0.3461 0.5000
Ta 0.5000 0.8461 0.3461
Ta 0.5000 0.1539 0.6539
O 0.6721 0.0000 0.6721
O 0.3279 0.0000 0.3279
O 0.3279 0.3279 0.0000
O 0.6721 0.6721 0.0000
O 0.0000 0.6721 0.6721
O 0.0000 0.3279 0.3279
O 0.0000 0.0000 0.0000
O 0.3648 0.3312 0.6075
O 0.6352 0.2427 0.9664
O 0.7236 0.7573 0.3925
O 0.9664 0.6352 0.2427
O 0.2764 0.6688 0.0336
O 0.6075 0.3648 0.3312
O 0.0336 0.2764 0.6688
O 0.3925 0.7236 0.7573
O 0.6688 0.0336 0.2764
O 0.2427 0.9664 0.6352
O 0.3312 0.6075 0.3648
O 0.7573 0.3925 0.7236

Electronic total energy, eV per atom: -9.294
D(E_F), states/eV per atom: 0.276
Space-group type: I23 (197)

| no. | calculated volume (Å³/atom) |
| --- | --- |
| 1 | 17.78 |
| 2 | 17.26 |
| 3 | 17.42 |
| 4 | 19.87 |
| 5 | 20.20 |
| 6 | 12.96 |